Entry from Alexandria: a geometry-optimized AlRhCl2 structure (PBE).

Computed properties:
M_tot = 2.01 μB/f.u.
formation energy from raw total energies = 273 meV/atom
calculated volume = 76.9 Å³/cell
E = -13.693 eV per cell
energy above the lowest structure with this stoichiometry = 867 meV/atom
crystal system = tetragonal

Lattice parameters (Å, degrees): 3.2573 3.2594 7.2477 90.00 90.00 90.00
Site moments in Bohr magnetons follow the coordinates.
Fractional positions:
Al (0.5000, 0.5000, 0.7500)  0.03
Rh (0.5000, 0.5000, 0.2500)  1.58
Cl (0.0000, 0.0000, 0.0296)  0.15
Cl (0.0000, 0.0000, 0.4704)  0.15

***

Entry from Alexandria: a geometry-optimized MnNiS3 structure (PBE).

Computed properties:
M_tot = 3.52 μB/f.u.
formation energy from raw total energies = 574 meV/atom
calculated volume = 88.6 Å³/cell
E = -24.464 eV per cell
energy above the lowest structure with this stoichiometry = 998 meV/atom
crystal system = cubic

Lattice parameters (Å, degrees): 4.4576 4.4576 4.4576 90.00 90.00 90.00
Site moments in Bohr magnetons follow the coordinates.
Fractional positions:
S (0.0000, 0.0000, 0.5000)  0.06
S (0.5000, 0.0000, 0.0000)  0.09
Mn (0.0000, 0.0000, 0.0000)  2.66
S (0.0000, 0.5000, 0.0000)  0.05
Ni (0.5000, 0.5000, 0.5000)  0.33

***

Entry from Alexandria: a geometry-optimized GaPbI2 structure (PBE).

Computed properties:
M_tot = 0.00 μB/f.u.
formation energy from raw total energies = -181 meV/atom
calculated volume = 130.5 Å³/cell
E = -10.559 eV per cell
energy above the lowest structure with this stoichiometry = 0 meV/atom
crystal system = cubic

Lattice parameters (Å, degrees): 5.6930 5.6930 5.6930 60.00 60.00 60.00
Fractional positions:
I (0.7500, 0.7500, 0.7500)
I (0.2500, 0.2500, 0.2500)
Pb (0.5000, 0.5000, 0.5000)
Ga (0.0000, 0.0000, 0.0000)

***

Entry from Alexandria: a geometry-optimized Ac2LaPr8 structure (PBE).

Computed properties:
M_tot = 0.00 μB/f.u.
calculated volume = 430.0 Å³/cell
E = -49.654 eV per cell
energy above the lowest structure with this stoichiometry = 137 meV/atom
crystal system = monoclinic

Lattice parameters (Å, degrees): 5.8126 10.8688 10.8688 38.84 93.02 93.02
Fractional positions:
La (0.0000, 0.0000, 0.0000)
Pr (0.2657, 0.1415, 0.6078)
Pr (0.7618, 0.4557, 0.4557)
Ac (0.7452, 0.2812, 0.2812)
Pr (0.7343, 0.8585, 0.3922)
Pr (0.7343, 0.3922, 0.8585)
Pr (0.2286, 0.1771, 0.1771)
Pr (0.2382, 0.5443, 0.5443)
Pr (0.7714, 0.8229, 0.8229)
Pr (0.2657, 0.6078, 0.1415)
Ac (0.2548, 0.7188, 0.7188)

***

Entry from Alexandria: a geometry-optimized Y2SiAu structure (PBE).

Computed properties:
M_tot = 0.00 μB/f.u.
formation energy from raw total energies = -647 meV/atom
calculated volume = 103.4 Å³/cell
E = -24.216 eV per cell
crystal system = trigonal

Lattice parameters (Å, degrees): 4.2914 4.2914 6.9405 71.98 71.98 60.03
Fractional positions:
Y (0.9932, 0.9932, 0.0205)
Si (0.2500, 0.2500, 0.2500)
Y (0.5068, 0.5068, 0.4795)
Au (0.7500, 0.7500, 0.7500)

***

Entry from Alexandria: a geometry-optimized MgZn2InAu4 structure (PBE).

Computed properties:
M_tot = 0.00 μB/f.u.
calculated volume = 142.5 Å³/cell
E = -22.158 eV per cell
crystal system = trigonal

Lattice parameters (Å, degrees): 4.5985 4.5985 8.2242 73.77 73.77 60.00
Fractional positions:
Zn (0.2453, 0.2453, 0.2642)
Au (0.1261, 0.1261, 0.6216)
Au (0.6187, 0.6187, 0.1439)
Zn (0.7547, 0.7547, 0.7358)
Au (0.3813, 0.3813, 0.8561)
In (0.0000, 0.0000, 0.0000)
Mg (0.5000, 0.5000, 0.5000)
Au (0.8739, 0.8739, 0.3784)

***

The following DOS(E_F) values (in states/eV per cell) correspond, in order, to the records above: 3.83, 7.54, 1.82, 16.92, 2.86, 2.63.